1.
Density functional theory data (meta-GGA SCAN) for Be2AlCo at its PBEsol-relaxed geometry.

Structure (POSCAR):
```
Be2AlCo
1.0
2.548 0.000 0.000
-1.274 2.207 0.000
0.000 0.000 22.688
Be Al Co
6 3 3
Direct
0.000 0.000 0.240
0.000 0.000 0.760
0.333 0.667 0.427
0.333 0.667 0.906
0.667 0.333 0.094
0.667 0.333 0.573
0.000 0.000 0.000
0.333 0.667 0.667
0.667 0.333 0.333
0.000 0.000 0.500
0.333 0.667 0.167
0.667 0.333 0.833
```

Computed properties:
- crystal system = trigonal
- energy of formation from the pure elements (eV/atom) = 0.10

2.
Density functional theory data (meta-GGA SCAN) for Be2AlCo at its PBEsol-relaxed geometry.

Structure (POSCAR):
```
Be2AlCo
1.0
3.055 0.000 0.000
0.000 3.573 0.000
0.000 0.000 7.211
Be Al Co
4 2 2
Direct
0.000 0.000 0.240
0.000 0.000 0.760
0.500 0.500 0.260
0.500 0.500 0.740
0.000 0.500 0.000
0.500 0.000 0.500
0.000 0.500 0.500
0.500 0.000 0.000
```

Computed properties:
- crystal system = orthorhombic
- energy of formation from the pure elements (eV/atom) = -0.26

3.
Density functional theory data (meta-GGA SCAN) for BeAl2Co at its PBEsol-relaxed geometry.

Structure (POSCAR):
```
BeAl2Co
1.0
2.896 0.000 0.000
0.000 2.896 0.000
0.000 0.000 5.486
Be Al Co
1 2 1
Direct
0.000 0.000 0.000
0.500 0.500 0.255
0.500 0.500 0.745
0.000 0.000 0.500
```

Computed properties:
- crystal system = tetragonal
- energy of formation from the pure elements (eV/atom) = -0.27

4.
Density functional theory data (meta-GGA SCAN) for Be2AlCo2 at its PBEsol-relaxed geometry.

Structure (POSCAR):
```
Be2AlCo2
1.0
5.994 0.000 0.000
0.000 5.994 0.000
0.000 0.000 2.628
Be Al Co
4 2 4
Direct
0.121 0.379 0.000
0.379 0.879 0.000
0.621 0.121 0.000
0.879 0.621 0.000
0.000 0.000 0.000
0.500 0.500 0.000
0.172 0.672 0.500
0.328 0.172 0.500
0.672 0.828 0.500
0.828 0.328 0.500
```

Computed properties:
- distance to the lowest polymorph of the same formula (meV per atom) = 0.0
- crystal system = tetragonal
- energy of formation from the pure elements (eV/atom) = -0.38

5.
Density functional theory data (meta-GGA SCAN) for Be2AlCo2 at its PBEsol-relaxed geometry.

Structure (POSCAR):
```
Be2AlCo2
1.0
6.087 0.000 0.000
0.000 6.087 0.000
0.000 0.000 2.682
Be Al Co
4 2 4
Direct
0.142 0.358 0.000
0.358 0.858 0.000
0.642 0.142 0.000
0.858 0.642 0.000
0.000 0.000 0.500
0.500 0.500 0.500
0.149 0.649 0.500
0.351 0.149 0.500
0.649 0.851 0.500
0.851 0.351 0.500
```

Computed properties:
- distance to the lowest polymorph of the same formula (meV per atom) = 190.9
- crystal system = tetragonal
- energy of formation from the pure elements (eV/atom) = -0.19

6.
Density functional theory data (meta-GGA SCAN) for Be2AlCo at its PBEsol-relaxed geometry.

Structure (POSCAR):
```
Be2AlCo
1.0
3.336 0.000 0.000
0.000 3.336 0.000
0.000 0.000 7.104
Be Al Co
4 2 2
Direct
0.000 0.000 0.000
0.000 0.500 0.250
0.500 0.000 0.750
0.500 0.500 0.500
0.000 0.500 0.750
0.500 0.000 0.250
0.000 0.000 0.500
0.500 0.500 0.000
```

Computed properties:
- crystal system = tetragonal
- energy of formation from the pure elements (eV/atom) = -0.21

7.
Density functional theory data (meta-GGA SCAN) for BeAlCo3 at its PBEsol-relaxed geometry.

Structure (POSCAR):
```
BeAlCo3
1.0
4.121 0.000 0.000
0.000 4.121 0.000
0.000 0.000 4.121
Be Al Co
1 1 3
Direct
0.000 0.000 0.000
0.500 0.500 0.500
0.000 0.500 0.500
0.500 0.000 0.500
0.500 0.500 0.000
```

Computed properties:
- crystal system = cubic
- energy of formation from the pure elements (eV/atom) = 1.21

8.
Density functional theory data (meta-GGA SCAN) for Be2AlCoGe at its PBEsol-relaxed geometry.

Structure (POSCAR):
```
Be2AlCoGe
1.0
4.007 0.000 0.000
0.000 4.007 0.000
0.000 0.000 5.017
Be Al Co Ge
2 1 1 1
Direct
0.000 0.500 0.000
0.500 0.000 0.000
0.000 0.000 0.500
0.500 0.500 0.500
0.000 0.000 0.000
```

Computed properties:
- crystal system = tetragonal
- energy of formation from the pure elements (eV/atom) = 0.98

9.
Density functional theory data (meta-GGA SCAN) for BeAlCoSi2 at its PBEsol-relaxed geometry.

Structure (POSCAR):
```
BeAlCoSi2
1.0
4.641 0.000 0.000
0.000 4.641 0.000
0.000 0.000 4.127
Be Al Co Si
1 1 1 2
Direct
0.000 0.000 0.000
0.000 0.000 0.500
0.500 0.500 0.000
0.000 0.500 0.500
0.500 0.000 0.500
```

Computed properties:
- formation energy without anion corrections (kJ/mol of formula units) = 677
- crystal system = tetragonal

10.
Density functional theory data (meta-GGA SCAN) for BeAlCr at its PBEsol-relaxed geometry.

Structure (POSCAR):
```
BeAlCr
1.0
5.626 0.000 0.000
0.000 5.626 0.000
0.000 0.000 5.626
Be Al Cr
4 4 4
Direct
0.000 0.000 0.000
0.000 0.500 0.500
0.500 0.000 0.500
0.500 0.500 0.000
0.000 0.000 0.500
0.000 0.500 0.000
0.500 0.000 0.000
0.500 0.500 0.500
0.250 0.250 0.750
0.250 0.750 0.250
0.750 0.250 0.250
0.750 0.750 0.750
```

Computed properties:
- crystal system = cubic
- energy of formation from the pure elements (eV/atom) = 0.57

11.
Density functional theory data (meta-GGA SCAN) for Be4AlCr at its PBEsol-relaxed geometry.

Structure (POSCAR):
```
Be4AlCr
1.0
0.000 3.065 3.065
3.065 0.000 3.065
3.065 3.065 0.000
Be Al Cr
4 1 1
Direct
0.377 0.377 0.377
0.377 0.377 0.870
0.377 0.870 0.377
0.870 0.377 0.377
0.000 0.000 0.000
0.750 0.750 0.750
```

Computed properties:
- crystal system = cubic
- energy of formation from the pure elements (eV/atom) = -0.19

12.
Density functional theory data (meta-GGA SCAN) for Be2AlCr at its PBEsol-relaxed geometry.

Structure (POSCAR):
```
Be2AlCr
1.0
2.433 0.000 0.000
0.000 3.886 0.000
-0.648 0.000 4.595
Be Al Cr
2 1 1
Direct
0.210 0.000 0.209
0.790 0.000 0.791
0.000 0.500 0.500
0.500 0.500 0.000
```

Computed properties:
- crystal system = monoclinic
- energy of formation from the pure elements (eV/atom) = 0.12

no.,volume (A^3/atom),DFT total energy (eV per atom),size of the total moment (μB/cell)
1,10.63,-8.3390,3.98
2,9.84,-8.7022,1.21
3,11.50,-9.5621,0.59
4,9.44,-10.5900,1.63
5,9.94,-10.3991,0.00
6,9.88,-8.6493,0.24
7,14.00,-11.5910,4.42
8,16.11,-9.5895,1.75
9,17.78,-8.4859,1.97
10,14.84,-9.5922,11.53
11,9.59,-7.4491,3.03
12,10.86,-8.5884,0.60